1.
Li4Mn3Nb2Cu3O16: relaxed, GGA+U.

The structure in POSCAR format:
```
Li4Mn3Nb2Cu3O16
1.0
-5.1233 1.9915 -2.0724
0.9688 -5.8222 -0.1110
-4.2440 -0.8725 8.7971
Li Mn Nb Cu O
4 3 2 3 16
Direct
0.3447 0.6848 0.9051
0.9829 0.9936 0.9928
0.9949 0.9900 0.4848
0.6727 0.3242 0.4042
0.6546 0.8329 0.2201
0.8325 0.6637 0.7148
0.8270 0.1635 0.7165
0.3079 0.6327 0.4861
0.6592 0.3452 0.9951
0.1628 0.8291 0.2125
0.1649 0.3349 0.2076
0.3411 0.1708 0.7152
0.1410 0.8020 0.5848
0.0399 0.4744 0.3617
0.3376 0.6666 0.1204
0.9940 0.0050 0.2953
0.9985 0.9925 0.8040
0.1618 0.3155 0.5994
0.4791 0.9608 0.3406
0.5510 0.5712 0.3572
0.3217 0.1990 0.0660
0.6819 0.8450 0.6091
0.5636 0.5363 0.8462
0.5328 0.0498 0.8374
0.6774 0.3404 0.6158
0.8280 0.6675 0.0992
0.9678 0.4777 0.8288
0.7790 0.1313 0.0870
```

Results
**Calculated total energy**: -6.70 eV/atom
**Crystal system**: triclinic



2.
Li3MnCu2O6: relaxed, GGA+U.

The structure in POSCAR format:
```
Li3MnCu2O6
1.0
1.3995 7.6780 -0.2095
-1.3995 7.6780 -0.2095
0.0000 1.2783 5.4688
Li Mn Cu O
3 1 2 6
Direct
0.5000 0.5000 0.5000
0.8521 0.8521 0.8297
0.1479 0.1479 0.1703
0.5000 0.5000 0.0000
0.8402 0.8402 0.3532
0.1598 0.1598 0.6468
0.3650 0.3650 0.1113
0.6664 0.6664 0.4163
0.6350 0.6350 0.8887
0.9862 0.9862 0.7761
0.0138 0.0138 0.2239
0.3336 0.3336 0.5837
```

Results
**Calculated total energy**: -5.56 eV/atom
**Crystal system**: monoclinic



3.
Li5Mn2Cu5O12: relaxed, GGA+U.

The structure in POSCAR format:
```
Li5Mn2Cu5O12
1.0
-4.9925 0.4825 -0.6085
1.5693 -4.7593 0.6437
-1.3049 0.6405 9.5195
Li Mn Cu O
5 2 5 12
Direct
0.1662 0.3354 0.7426
0.3215 0.1497 0.2561
0.6646 0.8338 0.2574
0.8503 0.6785 0.7439
0.9138 0.0862 0.5000
0.2446 0.7554 0.5000
0.7504 0.2496 0.0000
0.0823 0.9177 0.0000
0.9941 0.4893 0.2534
0.5107 0.0059 0.7466
0.4194 0.5806 0.0000
0.5830 0.4170 0.5000
0.9892 0.7948 0.3667
0.2052 0.0108 0.6333
0.0777 0.5749 0.9036
0.4251 0.9223 0.0964
0.3052 0.4830 0.3769
0.5170 0.6948 0.6231
0.4885 0.3065 0.8738
0.6935 0.5115 0.1262
0.5663 0.0833 0.4026
0.9167 0.4337 0.5974
0.8088 0.9940 0.8699
0.0060 0.1912 0.1301
```

Results
**Calculated total energy**: -5.57 eV/atom
**Crystal system**: monoclinic



4.
Li4MnCu3O8: relaxed, GGA+U.

The structure in POSCAR format:
```
Li4MnCu3O8
1.0
5.1060 -2.9402 0.0080
5.1060 2.9402 0.0080
3.4054 0.0000 4.8083
Li Mn Cu O
4 1 3 8
Direct
0.5000 0.5000 0.5000
0.0000 0.5000 0.0000
0.5000 0.0000 0.0000
0.0000 0.0000 0.5000
0.0000 0.0000 0.0000
0.5000 0.0000 0.5000
0.0000 0.5000 0.5000
0.5000 0.5000 0.0000
0.7407 0.7407 0.7407
0.2342 0.7627 0.2342
0.7627 0.2342 0.2342
0.2593 0.2593 0.2593
0.2342 0.2342 0.7627
0.7658 0.2373 0.7658
0.2373 0.7658 0.7658
0.7658 0.7658 0.2373
```

Results
**Calculated total energy**: -5.41 eV/atom
**Crystal system**: trigonal



5.
LiMnCuO4: relaxed, GGA+U.

The structure in POSCAR format:
```
LiMnCuO4
1.0
5.8967 -0.0288 -0.0022
0.1333 5.8952 0.0022
-2.9765 -2.9728 4.1321
Li Mn Cu O
2 2 2 8
Direct
0.1308 0.3808 0.7500
0.8692 0.6192 0.2500
0.5000 0.0000 0.0000
0.5000 0.5000 0.5000
0.0000 0.0000 0.0000
0.5000 0.0000 0.5000
0.2708 0.7923 0.0215
0.2774 0.2466 0.0307
0.7159 0.2466 0.4693
0.2708 0.2493 0.4785
0.7292 0.7507 0.5215
0.7226 0.7534 0.9693
0.2841 0.7534 0.5307
0.7292 0.2077 0.9785
```

Results
**Calculated total energy**: -5.96 eV/atom
**Crystal system**: orthorhombic



6.
Li5Mn2Cu3O10: relaxed, GGA+U.

The structure in POSCAR format:
```
Li5Mn2Cu3O10
1.0
-2.0643 1.6523 4.3037
-1.2291 -5.2613 -0.1946
7.4465 0.1175 1.4678
Li Mn Cu O
5 2 3 10
Direct
0.5000 0.5000 0.5000
0.2081 0.8969 0.3928
0.7919 0.1031 0.6072
0.4041 0.2851 0.7894
0.5959 0.7149 0.2106
0.1034 0.6760 0.6941
0.8966 0.3240 0.3059
0.0000 0.5000 0.0000
0.6992 0.8851 0.8977
0.3008 0.1149 0.1023
0.0593 0.0205 0.8374
0.9407 0.9795 0.1626
0.3495 0.6697 0.9284
0.6505 0.3303 0.0716
0.1302 0.3326 0.5455
0.8698 0.6674 0.4545
0.2148 0.5302 0.2472
0.7852 0.4698 0.7528
0.4522 0.8787 0.6639
0.5478 0.1213 0.3361
```

Results
**Calculated total energy**: -5.70 eV/atom
**Crystal system**: triclinic



7.
Li2MnCuO4: relaxed, GGA+U.

The structure in POSCAR format:
```
Li2MnCuO4
1.0
2.8332 0.0000 0.0000
0.0000 5.7027 -0.3221
0.0000 -2.3754 4.8371
Li Mn Cu O
2 1 1 4
Direct
0.5000 0.0000 0.5000
0.0000 0.5000 0.5000
0.5000 0.5000 0.0000
0.0000 0.0000 0.0000
0.5000 0.2634 0.1801
0.5000 0.7366 0.8199
0.0000 0.2902 0.7372
0.0000 0.7098 0.2628
```

Results
**Calculated total energy**: -5.84 eV/atom
**Energy above the most stable polymorph in this dataset**: 10 meV per atom
**Crystal system**: monoclinic



8.
Li2Mn5Cu2O12: relaxed, GGA+U.

The structure in POSCAR format:
```
Li2Mn5Cu2O12
1.0
5.3607 0.0000 -0.0209
0.0000 8.7609 0.0000
-1.4076 0.0000 9.7284
Li Mn Cu O
4 10 4 24
Direct
0.7472 0.1018 0.5065
0.5027 0.4272 0.7435
0.7528 0.6018 0.9935
0.9973 0.9272 0.7565
0.9975 0.0670 0.2448
0.4934 0.0918 0.7478
0.2410 0.2589 0.5086
0.9936 0.4052 0.2559
0.7365 0.2475 0.9945
0.0066 0.5918 0.7522
0.5025 0.5670 0.2552
0.2590 0.7589 0.9914
0.7635 0.7475 0.5055
0.5064 0.9052 0.2441
0.9990 0.2676 0.7579
0.4895 0.2366 0.2446
0.0105 0.7366 0.2554
0.5010 0.7676 0.7421
0.1338 0.1189 0.6490
0.3624 0.0682 0.3464
0.0559 0.2414 0.1303
0.6447 0.0758 0.1467
0.4287 0.2440 0.8762
0.8402 0.1141 0.8495
0.1212 0.4187 0.6550
0.5659 0.2396 0.6157
0.3339 0.3877 0.3567
0.9212 0.2462 0.3842
0.1376 0.5682 0.1536
0.6499 0.4038 0.1449
0.3662 0.6189 0.8510
0.8775 0.4233 0.8597
0.0713 0.7440 0.6238
0.6598 0.6141 0.6505
0.4441 0.7414 0.3697
0.8553 0.5758 0.3533
0.1661 0.8877 0.1433
0.5788 0.7462 0.1158
0.3788 0.9187 0.8450
0.9341 0.7396 0.8843
0.6225 0.9233 0.6403
0.8501 0.9038 0.3551
```

Results
**Calculated total energy**: -6.51 eV/atom
**Crystal system**: monoclinic



9.
Li2MnCuO4: relaxed, GGA+U.

The structure in POSCAR format:
```
Li2MnCuO4
1.0
5.1028 0.0238 -0.0009
1.7249 4.8025 -0.0009
-3.4144 -2.4135 2.9259
Li Mn Cu O
2 1 1 4
Direct
0.2499 0.7501 0.5000
0.5001 0.4999 0.0000
0.0001 0.9999 0.0000
0.7501 0.2499 0.5000
0.5157 0.0155 0.5000
0.2307 0.2309 0.0002
0.9845 0.4844 0.5000
0.7691 0.7693 0.9998
```

Results
**Calculated total energy**: -5.85 eV/atom
**Energy above the most stable polymorph in this dataset**: 0 meV per atom
**Crystal system**: tetragonal



10.
Li2MnCuO4: relaxed, GGA+U.

The structure in POSCAR format:
```
Li2MnCuO4
1.0
-4.0363 2.9347 2.5954
-3.8656 -3.5769 -1.9756
-3.3545 -3.1140 4.3107
Li Mn Cu O
4 2 2 8
Direct
0.5000 0.0000 0.0000
0.5000 0.0000 0.5000
0.0000 0.0000 0.5000
0.5000 0.5000 0.0000
0.0000 0.5000 0.0000
0.0000 0.5000 0.5000
0.5000 0.5000 0.5000
0.0000 0.0000 0.0000
0.7817 0.2502 0.9774
0.2498 0.7183 0.5226
0.7502 0.2817 0.4774
0.2183 0.7498 0.0226
0.1957 0.2125 0.0581
0.2875 0.3043 0.4419
0.7125 0.6957 0.5581
0.8043 0.7875 0.9419
```

Results
**Calculated total energy**: -5.84 eV/atom
**Energy above the most stable polymorph in this dataset**: 13 meV per atom
**Crystal system**: monoclinic



11.
Li4Mn5Cu3O16: relaxed, GGA+U.

The structure in POSCAR format:
```
Li4Mn5Cu3O16
1.0
0.0498 -4.1091 -4.1586
4.7848 -3.2391 -0.8914
-3.0054 -6.5410 6.0974
Li Mn Cu O
4 5 3 16
Direct
0.6694 0.6694 0.9013
0.0019 0.0019 0.9956
0.0051 0.0051 0.4910
0.3348 0.3348 0.3990
0.6612 0.6612 0.4833
0.8280 0.8280 0.2143
0.3313 0.3313 0.9886
0.1696 0.6615 0.7142
0.6615 0.1696 0.7142
0.3378 0.8308 0.2112
0.8308 0.3378 0.2112
0.1701 0.1701 0.7120
0.3324 0.8232 0.5954
0.5216 0.5216 0.3508
0.6719 0.6719 0.1095
0.9931 0.9931 0.3026
0.9983 0.9983 0.8054
0.8232 0.3324 0.5954
0.5294 0.9623 0.3464
0.9623 0.5294 0.3464
0.1670 0.1670 0.0873
0.8377 0.8377 0.6047
0.0425 0.4945 0.8469
0.4945 0.0425 0.8469
0.3388 0.3388 0.6090
0.1561 0.6640 0.0943
0.4824 0.4824 0.8364
0.6640 0.1561 0.0943
```

Results
**Calculated total energy**: -6.17 eV/atom
**Crystal system**: monoclinic



12.
Li3Mn4CuO8: relaxed, GGA+U.

The structure in POSCAR format:
```
Li3Mn4CuO8
1.0
-5.5588 1.4658 -1.7035
-2.8794 -3.6538 -3.7828
-4.8313 -3.2966 1.8911
Li Mn Cu O
3 4 1 8
Direct
0.0000 0.5000 0.5000
0.0000 0.0000 0.5000
0.5000 0.0000 0.5000
0.5000 0.5000 0.5000
0.0000 0.0000 0.0000
0.0000 0.5000 0.0000
0.5000 0.0000 0.0000
0.5000 0.5000 0.0000
0.2618 0.2618 0.1979
0.2564 0.7707 0.2433
0.7707 0.2564 0.2433
0.7502 0.7502 0.2679
0.2498 0.2498 0.7321
0.2293 0.7436 0.7567
0.7436 0.2293 0.7567
0.7382 0.7382 0.8021
```

Results
**Calculated total energy**: -6.54 eV/atom
**Crystal system**: monoclinic



13.
Li3Mn5Cu2O12: relaxed, GGA+U.

The structure in POSCAR format:
```
Li3Mn5Cu2O12
1.0
-0.3803 3.3427 3.9359
-2.5191 -1.5314 4.2565
7.7271 -4.6782 3.7690
Li Mn Cu O
3 5 2 12
Direct
0.3235 0.8640 0.9862
0.8640 0.3235 0.5138
0.9177 0.9177 0.7500
0.0739 0.0739 0.2500
0.4103 0.4103 0.2500
0.5843 0.5843 0.7500
0.5016 0.9969 0.5054
0.9969 0.5016 0.9946
0.2666 0.2666 0.7500
0.7467 0.7467 0.2500
0.1636 0.3098 0.3830
0.0670 0.7445 0.1393
0.3098 0.1636 0.1170
0.2903 0.5511 0.8559
0.2553 0.9701 0.6468
0.5511 0.2903 0.6441
0.4327 0.7376 0.3514
0.7445 0.0670 0.3607
0.7376 0.4327 0.1486
0.6588 0.8080 0.8825
0.9701 0.2553 0.8532
0.8080 0.6588 0.6175
```

Results
**Calculated total energy**: -6.44 eV/atom
**Crystal system**: monoclinic



14.
LiMnCuO2: relaxed, GGA+U.

The structure in POSCAR format:
```
LiMnCuO2
1.0
-1.2339 3.5918 -0.5272
-3.3794 -1.2728 -0.7624
-0.9237 0.2278 3.7143
Mn O Cu Li
1 2 1 1
Direct
0.5000 0.5000 0.5000
0.0000 0.0000 0.5000
0.5000 0.0000 0.0000
0.0000 0.5000 0.0000
0.0000 0.0000 0.0000
```

Results
**Calculated total energy**: -4.80 eV/atom
**Crystal system**: tetragonal



15.
Li4Mn3CuP4O16: relaxed, GGA+U.

The structure in POSCAR format:
```
Li4Mn3CuP4O16
1.0
-1.2447 5.3040 -2.9075
-4.5297 -1.4161 -0.6443
-2.8783 4.2931 9.0641
Li Mn Cu P O
4 3 1 4 16
Direct
0.2513 0.9923 0.0076
0.7487 0.9923 0.0076
0.7469 0.5062 0.4949
0.2531 0.5062 0.4949
0.0000 0.4766 0.7804
0.5000 0.5254 0.2165
0.5000 0.9698 0.7190
0.0000 0.0643 0.2885
0.5000 0.0826 0.4067
0.5000 0.4020 0.9071
0.0000 0.5884 0.1013
0.0000 0.9231 0.5861
0.5000 0.2097 0.5426
0.3004 0.2170 0.3346
0.6996 0.2170 0.3346
0.0000 0.2431 0.5921
0.0000 0.2628 0.1129
0.2990 0.2730 0.8374
0.7010 0.2730 0.8374
0.5000 0.2754 0.0455
0.0000 0.6955 0.9590
0.7965 0.7194 0.1645
0.2035 0.7194 0.1645
0.5000 0.7232 0.9028
0.5000 0.7623 0.4069
0.8007 0.7818 0.6547
0.1993 0.7818 0.6547
0.0000 0.8162 0.4451
```

Results
**Calculated total energy**: -6.94 eV/atom
**Crystal system**: monoclinic